*1*
# GGA-PBE SrHgSe, relaxed
# density of states at the Fermi level = 0.41 states/eV/f.u.
data_SrHgSe
_chemical_formula_sum 'Sr2 Hg2 Se2'
_symmetry_space_group_name_H-M 'P 4/n m m'
_symmetry_Int_Tables_number 129
_cell_length_a 4.415
_cell_length_b 4.415
_cell_length_c 9.434
_cell_angle_alpha 90.00
_cell_angle_beta 90.00
_cell_angle_gamma 90.00
loop_
_symmetry_equiv_pos_as_xyz
'x,y,z'
'-x,-y,-z'
'-y+1/2,x,z'
'y+1/2,-x,-z'
'-x+1/2,-y+1/2,z'
'x+1/2,y+1/2,-z'
'y,-x+1/2,z'
'-y,x+1/2,-z'
'x+1/2,-y,-z'
'-x+1/2,y,z'
'-y,-x,-z'
'y,x,z'
'-x,y+1/2,-z'
'x,-y+1/2,z'
'y+1/2,x+1/2,-z'
'-y+1/2,-x+1/2,z'
loop_
_atom_site_label
_atom_site_type_symbol
_atom_site_fract_x
_atom_site_fract_y
_atom_site_fract_z
_atom_site_occupancy
Sr1 Sr 0.250 0.250 0.164 1
Hg1 Hg 0.250 0.750 0.500 1
Se1 Se 0.250 0.250 0.835 1

*2*
# GGA-PBE SrHgSe, relaxed
# density of states at the Fermi level = 0.50 states/eV/f.u.
data_SrHgSe
_chemical_formula_sum 'Sr2 Hg2 Se2'
_symmetry_space_group_name_H-M 'P 4/n m m'
_symmetry_Int_Tables_number 129
_cell_length_a 4.404
_cell_length_b 4.404
_cell_length_c 9.626
_cell_angle_alpha 90.00
_cell_angle_beta 90.00
_cell_angle_gamma 90.00
loop_
_symmetry_equiv_pos_as_xyz
'x,y,z'
'-x,-y,-z'
'-y+1/2,x,z'
'y+1/2,-x,-z'
'-x+1/2,-y+1/2,z'
'x+1/2,y+1/2,-z'
'y,-x+1/2,z'
'-y,x+1/2,-z'
'x+1/2,-y,-z'
'-x+1/2,y,z'
'-y,-x,-z'
'y,x,z'
'-x,y+1/2,-z'
'x,-y+1/2,z'
'y+1/2,x+1/2,-z'
'-y+1/2,-x+1/2,z'
loop_
_atom_site_label
_atom_site_type_symbol
_atom_site_fract_x
_atom_site_fract_y
_atom_site_fract_z
_atom_site_occupancy
Sr1 Sr 0.250 0.250 0.165 1
Hg1 Hg 0.250 0.250 0.521 1
Se1 Se 0.250 0.250 0.840 1

The most stable of them is *2*.

*1*
# GGA-PBE Sr2HgSe, relaxed
# density of states at the Fermi level = 1.93 states/eV/f.u.
data_Sr2HgSe
_chemical_formula_sum 'Sr4 Hg2 Se2'
_symmetry_space_group_name_H-M 'I -4 m 2'
_symmetry_Int_Tables_number 119
_symmetry_space_group_name_Hall 'I -4 -2'
_cell_length_a 4.538
_cell_length_b 4.538
_cell_length_c 12.798
_cell_angle_alpha 90.00
_cell_angle_beta 90.00
_cell_angle_gamma 90.00
loop_
_atom_site_label
_atom_site_type_symbol
_atom_site_fract_x
_atom_site_fract_y
_atom_site_fract_z
_atom_site_occupancy
Sr1 Sr 0.000 0.000 0.000 1
Sr2 Sr 0.000 0.500 0.250 1
Hg1 Hg 0.000 0.500 0.750 1
Se1 Se 0.000 0.000 0.500 1

*2*
# GGA-PBE Sr2HgSe, relaxed
# density of states at the Fermi level = 2.23 states/eV/f.u.
data_Sr2HgSe
_chemical_formula_sum 'Sr6 Hg3 Se3'
_symmetry_space_group_name_H-M 'R -3 m'
_symmetry_Int_Tables_number 166
_symmetry_space_group_name_Hall '-R 3 2"'
_cell_length_a 4.3710
_cell_length_b 4.3710
_cell_length_c 24.8365
_cell_angle_alpha 90.00
_cell_angle_beta 90.00
_cell_angle_gamma 120.00
loop_
_atom_site_label
_atom_site_type_symbol
_atom_site_fract_x
_atom_site_fract_y
_atom_site_fract_z
_atom_site_occupancy
Sr1 Sr 0.0000 0.0000 0.2409 1
Hg1 Hg 0.0000 0.0000 0.0000 1
Se1 Se 0.0000 0.0000 0.5000 1

The most stable of them is *2*.

*1*
# GGA-PBE Sr2HgSe, relaxed
# density of states at the Fermi level = 1.76 states/eV/f.u.
data_Sr2HgSe
_chemical_formula_sum 'Sr4 Hg2 Se2'
_symmetry_space_group_name_H-M 'A m m 2'
_symmetry_Int_Tables_number 38
_cell_length_a 4.800
_cell_length_b 4.371
_cell_length_c 12.492
_cell_angle_alpha 90.00
_cell_angle_beta 90.00
_cell_angle_gamma 90.00
loop_
_symmetry_equiv_pos_as_xyz
'x,y,z'
'-x,-y,z'
'-x,y,z'
'x,-y,z'
'x,y+1/2,z+1/2'
'-x,-y+1/2,z+1/2'
'-x,y+1/2,z+1/2'
'x,-y+1/2,z+1/2'
loop_
_atom_site_label
_atom_site_type_symbol
_atom_site_fract_x
_atom_site_fract_y
_atom_site_fract_z
_atom_site_occupancy
Sr1 Sr 0.000 0.000 0.000 1
Sr2 Sr 0.500 0.000 0.264 1
Hg1 Hg 0.500 0.000 0.534 1
Se1 Se 0.000 0.000 0.747 1

*2*
# GGA-PBE Sr2HgSe, relaxed
# density of states at the Fermi level = 2.64 states/eV/f.u.
data_Sr2HgSe
_chemical_formula_sum 'Sr8 Hg4 Se4'
_symmetry_space_group_name_H-M 'F -4 3 m'
_symmetry_Int_Tables_number 216
_symmetry_space_group_name_Hall 'F -4 2 3'
_cell_length_a 7.970
_cell_length_b 7.970
_cell_length_c 7.970
_cell_angle_alpha 90.00
_cell_angle_beta 90.00
_cell_angle_gamma 90.00
loop_
_atom_site_label
_atom_site_type_symbol
_atom_site_fract_x
_atom_site_fract_y
_atom_site_fract_z
_atom_site_occupancy
Sr1 Sr 0.000 0.000 0.000 1
Sr2 Sr 0.250 0.250 0.250 1
Hg1 Hg 0.000 0.000 0.500 1
Se1 Se 0.250 0.250 0.750 1

*3*
# GGA-PBE Sr2HgSe, relaxed
# density of states at the Fermi level = 4.26 states/eV/f.u.
data_Sr2HgSe
_chemical_formula_sum 'Sr2 Hg1 Se1'
_symmetry_space_group_name_H-M 'P 4 m m'
_symmetry_Int_Tables_number 99
_cell_length_a 4.599
_cell_length_b 4.599
_cell_length_c 6.503
_cell_angle_alpha 90.00
_cell_angle_beta 90.00
_cell_angle_gamma 90.00
loop_
_symmetry_equiv_pos_as_xyz
'x,y,z'
'-y,x,z'
'-x,-y,z'
'y,-x,z'
'-x,y,z'
'y,x,z'
'x,-y,z'
'-y,-x,z'
loop_
_atom_site_label
_atom_site_type_symbol
_atom_site_fract_x
_atom_site_fract_y
_atom_site_fract_z
_atom_site_occupancy
Sr1 Sr 0.000 0.000 0.000 1
Sr2 Sr 0.500 0.500 0.499 1
Hg1 Hg 0.000 0.000 0.500 1
Se1 Se 0.500 0.500 0.999 1

*4*
# GGA-PBE Sr2HgSe, relaxed
# density of states at the Fermi level = 4.74 states/eV/f.u.
data_Sr2HgSe
_chemical_formula_sum 'Sr8 Hg4 Se4'
_symmetry_space_group_name_H-M 'F m -3 m'
_symmetry_Int_Tables_number 225
_symmetry_space_group_name_Hall '-F 4 2 3'
_cell_length_a 7.917
_cell_length_b 7.917
_cell_length_c 7.917
_cell_angle_alpha 90.00
_cell_angle_beta 90.00
_cell_angle_gamma 90.00
loop_
_atom_site_label
_atom_site_type_symbol
_atom_site_fract_x
_atom_site_fract_y
_atom_site_fract_z
_atom_site_occupancy
Sr1 Sr 0.250 0.250 0.250 1
Hg1 Hg 0.000 0.000 0.000 1
Se1 Se 0.000 0.000 0.500 1

The most stable of them is *3*.

*1*
# GGA-PBE Sr2HgSe, relaxed
# density of states at the Fermi level = 0.52 states/eV/f.u.
data_Sr2HgSe
_chemical_formula_sum 'Sr8 Hg4 Se4'
_symmetry_space_group_name_H-M 'I -4 2 d'
_symmetry_Int_Tables_number 122
_symmetry_space_group_name_Hall 'I -4 2bw'
_cell_length_a 8.420
_cell_length_b 8.420
_cell_length_c 8.340
_cell_angle_alpha 90.00
_cell_angle_beta 90.00
_cell_angle_gamma 90.00
loop_
_atom_site_label
_atom_site_type_symbol
_atom_site_fract_x
_atom_site_fract_y
_atom_site_fract_z
_atom_site_occupancy
Sr1 Sr 0.222 0.250 0.125 1
Hg1 Hg 0.000 0.000 0.500 1
Se1 Se 0.000 0.000 0.000 1

*2*
# GGA-PBE Sr2HgSe, relaxed
# density of states at the Fermi level = 3.14 states/eV/f.u.
data_Sr2HgSe
_chemical_formula_sum 'Sr4 Hg2 Se2'
_symmetry_space_group_name_H-M 'I 4/m m m'
_symmetry_Int_Tables_number 139
_symmetry_space_group_name_Hall '-I 4 2'
_cell_length_a 5.253
_cell_length_b 5.253
_cell_length_c 8.930
_cell_angle_alpha 90.00
_cell_angle_beta 90.00
_cell_angle_gamma 90.00
loop_
_atom_site_label
_atom_site_type_symbol
_atom_site_fract_x
_atom_site_fract_y
_atom_site_fract_z
_atom_site_occupancy
Sr1 Sr 0.000 0.500 0.250 1
Hg1 Hg 0.000 0.000 0.000 1
Se1 Se 0.000 0.000 0.500 1

The most stable of them is *1*.